Nb2HRuAu (PBE, optimized geometry); calculated volume = 68.7 Å³/cell; relative energy among the computed polymorphs = 0 meV per atom
1.0
-3.696 -0.838 -1.570
-1.326 -1.117 3.718
-1.181 3.838 0.731
Nb Au Ru H
2 1 1 1
Direct
0.500 0.000 0.000
0.000 0.500 0.000
0.500 0.500 0.500
0.000 0.000 0.500
0.000 0.000 0.000

***

ScNb2HAu (PBE, optimized geometry); calculated volume = 77.0 Å³/cell; VASP energy = -6.86 eV per atom
1.0
4.031 0.000 0.000
0.000 4.031 0.000
0.000 0.000 4.737
Nb Sc Au H
2 1 1 1
Direct
0.000 0.500 0.000
0.500 0.000 0.000
0.000 0.000 0.500
0.500 0.500 0.500
0.000 0.000 0.000

***

Nb2SnHAu (PBE, optimized geometry); calculated volume = 77.5 Å³/cell; VASP energy = -6.23 eV per atom
1.0
-2.773 2.810 -1.145
-0.823 -2.190 -3.380
-3.260 -2.289 2.277
Nb H Sn Au
2 1 1 1
Direct
0.000 0.500 0.000
0.500 0.000 0.000
0.000 0.000 0.000
0.500 0.500 0.500
0.000 0.000 0.500

***

TaNb2HAu (PBE, optimized geometry); calculated volume = 74.1 Å³/cell; relative energy among the computed polymorphs = 87 meV per atom
1.0
-2.872 -2.788 0.785
2.730 -2.237 2.045
-1.055 2.145 3.754
Ta Au H Nb
1 1 1 2
Direct
0.500 0.500 0.500
0.000 0.000 0.500
0.000 0.000 0.000
0.500 0.000 0.000
0.000 0.500 0.000

***

TaNb2HAu (PBE, optimized geometry); calculated volume = 73.6 Å³/cell; relative energy among the computed polymorphs = 0 meV per atom
1.0
4.123 0.000 0.000
0.000 4.123 0.000
0.000 0.000 4.329
Au H Ta Nb
1 1 1 2
Direct
0.500 0.500 0.500
0.000 0.000 0.000
0.000 0.000 0.500
0.000 0.500 0.000
0.500 0.000 0.000

***

Nb2TcHAu (PBE, optimized geometry); calculated volume = 69.8 Å³/cell; relative energy among the computed polymorphs = 126 meV per atom
1.0
4.125 0.000 0.000
0.000 4.125 0.000
0.000 0.000 4.104
Nb Au H Tc
2 1 1 1
Direct
0.000 0.500 0.000
0.500 0.000 0.000
0.000 0.000 0.500
0.000 0.000 0.000
0.500 0.500 0.500

***

Q: What is the formula in the third record?
A: Nb2SnHAu

***

Q: Among the records above, which one has the highest calculated volume?
A: Nb2SnHAu